(1)
Compound: TiFeCoSi
Source: Alexandria
Functional: PBE
Structure: optimized geometry

Values from the calculation:
- Formation energy from raw total energies: -62.5 kJ per mole of atoms
- Uncorrected energy: -0.2892 Ha/atom
- Calculated volume: 11.7 A^3/atom

Lattice parameters (Å, degrees): 4.0433 4.0433 4.0433 60.00 60.00 60.00
Each line ends with the local moment (μB).
Positions (direct):
1 Si 0.0000 0.0000 0.0000  0.00
2 Ti 0.5000 0.5000 0.5000  -0.14
3 Fe 0.2500 0.2500 0.2500  0.61
4 Co 0.7500 0.7500 0.7500  0.59

(2)
Compound: Ti2Fe2Co5Si
Source: Alexandria
Functional: PBE
Structure: optimized geometry

Values from the calculation:
- Formation energy from raw total energies: -16.1 kJ per mole of atoms
- Uncorrected energy: -0.2768 Ha/atom
- Calculated volume: 12.2 A^3/atom

Lattice parameters (Å, degrees): 3.6153 8.2045 8.2045 90.00 90.00 90.00
Each line ends with the local moment (μB).
Positions (direct):
1 Co 0.5000 0.0642 0.8001  1.03
2 Co 0.5000 0.6999 0.4358  1.03
3 Co 0.5000 0.4358 0.3001  1.03
4 Co 0.5000 0.5642 0.6999  1.03
5 Ti 0.0000 0.6736 0.1736  -0.56
6 Ti 0.0000 0.8264 0.6736  -0.56
7 Co 0.5000 0.5000 0.0000  0.84
8 Co 0.5000 0.3001 0.5642  1.03
9 Co 0.5000 0.0000 0.5000  0.84
10 Si 0.0000 0.5000 0.5000  0.02
11 Si 0.0000 0.0000 0.0000  0.02
12 Co 0.5000 0.1999 0.0642  1.03
13 Fe 0.0000 0.8716 0.3716  1.72
14 Ti 0.0000 0.3264 0.8264  -0.56
15 Fe 0.0000 0.6284 0.8716  1.72
16 Fe 0.0000 0.1284 0.6284  1.72
17 Ti 0.0000 0.1736 0.3264  -0.56
18 Fe 0.0000 0.3716 0.1284  1.72
19 Co 0.5000 0.8001 0.9358  1.03
20 Co 0.5000 0.9358 0.1999  1.03

(3)
Compound: Tm2FeCo6Si
Source: Alexandria
Functional: PBE
Structure: optimized geometry

Values from the calculation:
- Formation energy from raw total energies: 19.9 kJ per mole of atoms
- Uncorrected energy: -0.2330 Ha/atom
- Calculated volume: 15.8 A^3/atom

Lattice parameters (Å, degrees): 6.0618 6.0618 6.0618 60.00 60.00 90.00
Each line ends with the local moment (μB).
Positions (direct):
1 Co 0.7518 0.7518 0.0000  1.16
2 Co 0.2482 0.7518 0.0000  1.16
3 Si 0.0000 0.0000 0.0000  -0.02
4 Co 0.7518 0.7518 0.4964  1.16
5 Co 0.7518 0.2482 0.0000  1.16
6 Co 0.2482 0.2482 0.5036  1.16
7 Fe 0.5000 0.5000 0.0000  2.42
8 Co 0.2482 0.2482 0.0000  1.16
9 Tm 0.2500 0.7500 0.5000  -0.28
10 Tm 0.7500 0.2500 0.5000  -0.28

(4)
Compound: Tm2FeCo5Si2
Source: Alexandria
Functional: PBE
Structure: optimized geometry

Values from the calculation:
- Formation energy from raw total energies: -34.0 kJ per mole of atoms
- Uncorrected energy: -0.2473 Ha/atom
- Calculated volume: 13.9 A^3/atom

Lattice parameters (Å, degrees): 3.2768 9.2162 9.2162 90.00 90.00 90.00
Each line ends with the local moment (μB).
Positions (direct):
1 Co 0.5000 0.5641 0.7085  0.49
2 Si 0.0000 0.6211 0.8789  -0.02
3 Tm 0.0000 0.1762 0.3238  -0.20
4 Co 0.5000 0.7915 0.9359  0.49
5 Tm 0.0000 0.8238 0.6762  -0.20
6 Tm 0.0000 0.6762 0.1762  -0.20
7 Tm 0.0000 0.3238 0.8238  -0.20
8 Co 0.5000 0.2915 0.5641  0.49
9 Co 0.5000 0.7085 0.4359  0.49
10 Co 0.5000 0.9359 0.2085  0.49
11 Si 0.0000 0.8789 0.3789  -0.02
12 Si 0.0000 0.3789 0.1211  -0.02
13 Co 0.5000 0.0641 0.7915  0.49
14 Si 0.0000 0.1211 0.6211  -0.02
15 Fe 0.0000 0.0000 0.0000  3.00
16 Co 0.5000 0.5000 0.0000  0.09
17 Co 0.5000 0.4359 0.2915  0.49
18 Fe 0.0000 0.5000 0.5000  3.00
19 Co 0.5000 0.2085 0.0641  0.49
20 Co 0.5000 0.0000 0.5000  0.09

(5)
Compound: Tm2Fe2Co5Si
Source: Alexandria
Functional: PBE
Structure: optimized geometry

Values from the calculation:
- Formation energy from raw total energies: -12.1 kJ per mole of atoms
- Uncorrected energy: -0.2502 Ha/atom
- Calculated volume: 14.0 A^3/atom

Lattice parameters (Å, degrees): 3.1509 9.4356 9.4356 90.00 90.00 90.00
Each line ends with the local moment (μB).
Positions (direct):
1 Si 0.0000 0.5000 0.5000  0.00
2 Co 0.5000 0.4435 0.3069  1.15
3 Tm 0.0000 0.3263 0.8263  -0.37
4 Co 0.5000 0.3069 0.5565  1.15
5 Fe 0.0000 0.3699 0.1301  2.48
6 Co 0.5000 0.6931 0.4435  1.15
7 Tm 0.0000 0.1737 0.3263  -0.37
8 Co 0.5000 0.5000 0.0000  1.37
9 Si 0.0000 0.0000 0.0000  0.00
10 Co 0.5000 0.8069 0.9435  1.15
11 Fe 0.0000 0.1301 0.6301  2.48
12 Co 0.5000 0.0565 0.8069  1.15
13 Tm 0.0000 0.8263 0.6737  -0.37
14 Co 0.5000 0.9435 0.1931  1.15
15 Tm 0.0000 0.6737 0.1737  -0.37
16 Co 0.5000 0.1931 0.0565  1.15
17 Co 0.5000 0.5565 0.6931  1.15
18 Co 0.5000 0.0000 0.5000  1.37
19 Fe 0.0000 0.6301 0.8699  2.48
20 Fe 0.0000 0.8699 0.3699  2.48

(6)
Compound: TmFeCoSi3
Source: Alexandria
Functional: PBE
Structure: optimized geometry

Values from the calculation:
- Formation energy from raw total energies: -32.3 kJ per mole of atoms
- Uncorrected energy: -0.2347 Ha/atom
- Calculated volume: 16.2 A^3/atom

Lattice parameters (Å, degrees): 5.6188 5.9370 6.5357 117.01 90.00 90.00
Positions (direct):
1 Fe 0.7500 0.9732 0.9463
2 Si 0.7500 0.7916 0.5831
3 Si 0.5000 0.2950 0.0000
4 Co 0.2500 0.3885 0.7770
5 Tm 0.2500 0.7822 0.5644
6 Co 0.7500 0.6115 0.2230
7 Si 0.2500 0.2084 0.4169
8 Si 0.5000 0.7050 0.0000
9 Si 0.0000 0.7050 0.0000
10 Tm 0.7500 0.2178 0.4356
11 Si 0.0000 0.2950 0.0000
12 Fe 0.2500 0.0268 0.0537